# 1
Entry from Alexandria via LeMat-Bulk: LiCuH4Rh2 after structural relaxation (GGA-PBE).

Cell and atoms, written as CIF:
```
data_LiCuH4Rh2
_chemical_formula_sum 'Li4 Cu4 H16 Rh8'
_symmetry_space_group_name_H-M 'C m c m'
_symmetry_Int_Tables_number 63
_symmetry_space_group_name_Hall '-C 2c 2'
_cell_length_a 2.8410
_cell_length_b 10.3833
_cell_length_c 8.9197
_cell_angle_alpha 90.00
_cell_angle_beta 90.00
_cell_angle_gamma 90.00
loop_
_atom_site_label
_atom_site_type_symbol
_atom_site_fract_x
_atom_site_fract_y
_atom_site_fract_z
Li1 Li 0.0000 0.0206 0.2500
Cu1 Cu 0.0000 0.2426 0.7500
H1 H 0.0000 0.0000 0.0000
H2 H 0.0000 0.3714 0.2500
H3 H 0.0000 0.3803 0.6486
Rh1 Rh 0.0000 0.3676 0.0303
```

crystal system: orthorhombic

# 2
Entry from Alexandria via LeMat-Bulk: LiCu2H4Rh after structural relaxation (GGA-PBE).

Cell and atoms, written as CIF:
```
data_LiCu2H4Rh
_chemical_formula_sum 'Li2 Cu4 H8 Rh2'
_symmetry_space_group_name_H-M 'I -4 2 m'
_symmetry_Int_Tables_number 121
_symmetry_space_group_name_Hall 'I -4 2'
_cell_length_a 4.0141
_cell_length_b 4.0141
_cell_length_c 8.3257
_cell_angle_alpha 90.00
_cell_angle_beta 90.00
_cell_angle_gamma 90.00
loop_
_atom_site_label
_atom_site_type_symbol
_atom_site_fract_x
_atom_site_fract_y
_atom_site_fract_z
Li1 Li 0.0000 0.0000 0.0000
Cu1 Cu 0.0000 0.5000 0.2500
H1 H 0.2277 0.2277 0.6354
Rh1 Rh 0.0000 0.0000 0.5000
```

crystal system: tetragonal

# 3
Entry from Alexandria via LeMat-Bulk: Li2CuH6Rh after structural relaxation (GGA-PBE).

Cell and atoms, written as CIF:
```
data_Li2CuH6Rh
_chemical_formula_sum 'Li4 Cu2 H12 Rh2'
_symmetry_space_group_name_H-M 'C 1 2/m 1'
_symmetry_Int_Tables_number 12
_symmetry_space_group_name_Hall '-C 2y'
_cell_length_a 6.8046
_cell_length_b 6.8070
_cell_length_c 4.8148
_cell_angle_alpha 90.00
_cell_angle_beta 134.87
_cell_angle_gamma 90.00
loop_
_atom_site_label
_atom_site_type_symbol
_atom_site_fract_x
_atom_site_fract_y
_atom_site_fract_z
Li1 Li 0.0000 0.2498 0.0000
Cu1 Cu 0.0000 0.0000 0.5000
H1 H 0.0000 0.2526 0.5000
H2 H 0.2476 0.5000 0.5002
H3 H 0.2477 0.5000 0.9933
Rh1 Rh 0.0000 0.5000 0.5000
```

crystal system: monoclinic

# 4
Entry from Alexandria via LeMat-Bulk: Li2CuH4Rh after structural relaxation (GGA-PBE).

Cell and atoms, written as CIF:
```
data_Li2CuH4Rh
_chemical_formula_sum 'Li2 Cu1 H4 Rh1'
_symmetry_space_group_name_H-M 'P 1 2/m 1'
_symmetry_Int_Tables_number 10
_symmetry_space_group_name_Hall '-P 2y'
_cell_length_a 4.7564
_cell_length_b 2.9161
_cell_length_c 4.7580
_cell_angle_alpha 90.00
_cell_angle_beta 106.59
_cell_angle_gamma 90.00
loop_
_atom_site_label
_atom_site_type_symbol
_atom_site_fract_x
_atom_site_fract_y
_atom_site_fract_z
Li1 Li 0.0000 0.0000 0.0000
Li2 Li 0.0000 0.5000 0.5000
Cu1 Cu 0.5000 0.0000 0.5000
H1 H 0.2700 0.5000 0.2283
H2 H 0.2970 0.0000 0.7656
Rh1 Rh 0.5000 0.5000 0.0000
```

crystal system: monoclinic

# 5
Entry from Alexandria via LeMat-Bulk: LiCu2H5Ru after structural relaxation (GGA-PBE).

Cell and atoms, written as CIF:
```
data_LiCu2H5Ru
_chemical_formula_sum 'Li2 Cu4 H10 Ru2'
_symmetry_space_group_name_H-M 'I m m m'
_symmetry_Int_Tables_number 71
_symmetry_space_group_name_Hall '-I 2 2'
_cell_length_a 3.4303
_cell_length_b 4.6734
_cell_length_c 9.0800
_cell_angle_alpha 90.00
_cell_angle_beta 90.00
_cell_angle_gamma 90.00
loop_
_atom_site_label
_atom_site_type_symbol
_atom_site_fract_x
_atom_site_fract_y
_atom_site_fract_z
Li1 Li 0.0000 0.0000 0.0000
Cu1 Cu 0.0000 0.5000 0.2291
H1 H 0.0000 0.2728 0.3733
H2 H 0.0000 0.5000 0.0000
Ru1 Ru 0.0000 0.0000 0.5000
```

crystal system: orthorhombic

# 6
Entry from Alexandria via LeMat-Bulk: Li2CuHSe after structural relaxation (GGA-PBE).

Cell and atoms, written as CIF:
```
data_Li2CuHSe
_chemical_formula_sum 'Li2 Cu1 H1 Se1'
_symmetry_space_group_name_H-M 'P 4/m m m'
_symmetry_Int_Tables_number 123
_symmetry_space_group_name_Hall '-P 4 2'
_cell_length_a 4.0332
_cell_length_b 4.0332
_cell_length_c 3.6822
_cell_angle_alpha 90.00
_cell_angle_beta 90.00
_cell_angle_gamma 90.00
loop_
_atom_site_label
_atom_site_type_symbol
_atom_site_fract_x
_atom_site_fract_y
_atom_site_fract_z
Li1 Li 0.0000 0.5000 0.0000
Cu1 Cu 0.0000 0.0000 0.5000
H1 H 0.0000 0.0000 0.0000
Se1 Se 0.5000 0.5000 0.5000
```

crystal system: tetragonal

# 7
Entry from Alexandria via LeMat-Bulk: Li2CuSiH6 after structural relaxation (GGA-PBE).

Cell and atoms, written as CIF:
```
data_Li2CuSiH6
_chemical_formula_sum 'Li2 Cu1 Si1 H6'
_symmetry_space_group_name_H-M 'P 1'
_symmetry_Int_Tables_number 1
_symmetry_space_group_name_Hall 'P 1'
_cell_length_a 4.7249
_cell_length_b 4.7306
_cell_length_c 5.0970
_cell_angle_alpha 89.63
_cell_angle_beta 62.75
_cell_angle_gamma 60.08
loop_
_atom_site_label
_atom_site_type_symbol
_atom_site_fract_x
_atom_site_fract_y
_atom_site_fract_z
Li1 Li 0.0000 0.0000 0.0000
Li2 Li 0.0245 0.4904 0.4665
Cu1 Cu 0.4446 0.7791 0.3395
Si1 Si 0.4314 0.2855 0.8529
H1 H 0.3309 0.0528 0.1110
H2 H 0.3329 0.1310 0.6315
H3 H 0.4970 0.5405 0.6302
H4 H 0.5088 0.4431 0.1097
H5 H 0.9005 0.9698 0.6331
H6 H 0.9426 0.6185 0.1100
```

crystal system: triclinic

# 8
Entry from Alexandria via LeMat-Bulk: Li2CuSiH after structural relaxation (GGA-PBE).

Cell and atoms, written as CIF:
```
data_Li2CuSiH
_chemical_formula_sum 'Li2 Cu1 Si1 H1'
_symmetry_space_group_name_H-M 'P 4/m m m'
_symmetry_Int_Tables_number 123
_symmetry_space_group_name_Hall '-P 4 2'
_cell_length_a 3.7386
_cell_length_b 3.7386
_cell_length_c 3.7973
_cell_angle_alpha 90.00
_cell_angle_beta 90.00
_cell_angle_gamma 90.00
loop_
_atom_site_label
_atom_site_type_symbol
_atom_site_fract_x
_atom_site_fract_y
_atom_site_fract_z
Li1 Li 0.0000 0.5000 0.0000
Cu1 Cu 0.0000 0.0000 0.5000
Si1 Si 0.5000 0.5000 0.5000
H1 H 0.0000 0.0000 0.0000
```

crystal system: tetragonal

no.,DOS(E_F) (states/eV per cell),energy (eV/f.u.),total magnetic moment (μB/f.u.)
1,10.31,-34.92,0.00
2,3.90,-31.45,0.00
3,3.29,-37.96,0.00
4,1.65,-30.34,0.00
5,2.33,-36.15,0.00
6,0.49,-17.48,0.00
7,1.25,-33.36,0.00
8,0.92,-17.26,0.00